[1]
Zn2PbW: relaxed, PBE.

Properties
**DFT formation energy**: 0.71 eV/atom
**N(E_F)**: 2.7 states/eV per cell

CIF file:
```
data_Zn2PbW
_chemical_formula_sum 'Zn2 Pb1 W1'
_symmetry_space_group_name_H-M 'P 4/m m m'
_symmetry_Int_Tables_number 123
_symmetry_space_group_name_Hall '-P 4 2'
_cell_length_a 4.266
_cell_length_b 4.266
_cell_length_c 3.873
_cell_angle_alpha 90.00
_cell_angle_beta 90.00
_cell_angle_gamma 90.00
loop_
_atom_site_label
_atom_site_fract_x
_atom_site_fract_y
_atom_site_fract_z
Zn1 0.000 0.500 0.000
Pb1 0.000 0.000 0.500
W1 0.500 0.500 0.500
```



[2]
CuPd2Se3: relaxed, PBE.

Properties
**N(E_F)**: 10.9 states/eV per cell
**E_form (uncorrected)**: -18.3 kJ per mole of atoms

CIF file:
```
data_CuPd2Se3
_chemical_formula_sum 'Cu4 Pd8 Se12'
_symmetry_space_group_name_H-M 'C 1 2/m 1'
_symmetry_Int_Tables_number 12
_symmetry_space_group_name_Hall '-C 2y'
_cell_length_a 12.428
_cell_length_b 9.404
_cell_length_c 4.009
_cell_angle_alpha 90.00
_cell_angle_beta 102.71
_cell_angle_gamma 90.00
loop_
_atom_site_label
_atom_site_fract_x
_atom_site_fract_y
_atom_site_fract_z
Cu1 0.169 0.000 0.172
Pd1 0.000 0.000 0.500
Pd2 0.000 0.500 0.500
Pd3 0.250 0.250 0.000
Se1 0.113 0.216 0.419
Se2 0.154 0.500 0.014
```



[3]
LiMgHg: relaxed, PBE.

Properties
**DFT formation energy**: -0.13 eV/atom
**N(E_F)**: 5.8 states/eV per cell

CIF file:
```
data_LiMgHg
_chemical_formula_sum 'Li4 Mg4 Hg4'
_symmetry_space_group_name_H-M 'F -4 3 m'
_symmetry_Int_Tables_number 216
_symmetry_space_group_name_Hall 'F -4 2 3'
_cell_length_a 6.584
_cell_length_b 6.584
_cell_length_c 6.584
_cell_angle_alpha 90.00
_cell_angle_beta 90.00
_cell_angle_gamma 90.00
loop_
_atom_site_label
_atom_site_fract_x
_atom_site_fract_y
_atom_site_fract_z
Li1 0.000 0.000 0.000
Mg1 0.000 0.000 0.500
Hg1 0.250 0.250 0.750
```



N(E_F) of number 1 (Zn2PbW)?
2.7 states/eV per cell



The lowest N(E_F) belongs to which entry?
Zn2PbW



Among the records above, which one has the highest N(E_F)?
CuPd2Se3



Which value of N(E_F) does entry 3 give?
5.8 states/eV per cell